Density functional theory data (PBE+U) for crystalline Li3V2F8 at its relaxed geometry.

## Properties
**Uncorrected energy**: -145.049 eV for the cell shown

a b c (Å): 5.777 5.254 9.796
angles (deg): 90.00 95.97 90.00
Space group P2_1/c (No. 14)
One atom of each set of equivalent atoms:
Li: 0.000 0.000 0.000 x2
Li: 0.476 0.050 0.138 x4
V: 0.129 0.019 0.375 x4
F: 0.058 0.192 0.190 x4
F: 0.165 0.680 0.057 x4
F: 0.297 0.154 0.953 x4
F: 0.409 0.623 0.804 x4